The following is a DFT calculation (PBE-GGA) of crystalline ScBeIn at its relaxed geometry.

a b c (Å): 4.3356 4.3356 3.3683
angles (deg): 90.00 90.00 120.00
Positions (direct):
Sc  0.3333  0.6667  0.6668
Be  0.0000  0.0000  0.1667
In  0.6667  0.3333  0.1666

ΔE to the lowest computed polymorph = 32 meV per atom
total magnetization = 0.000 Bohr magnetons per cell
volume = 18.28 Å³/atom
energy relative to the elements = -0.178 eV/atom

=====

The following is a DFT calculation (PBE-GGA) of crystalline Sc2BeIn at its relaxed geometry.

a b c (Å): 3.1556 3.1556 7.9667
angles (deg): 90.00 90.00 90.00
Positions (direct):
Sc  0.0000  0.0000  0.9926
Sc  0.5000  0.5000  0.2963
Be  0.0000  0.0000  0.5066
In  0.5000  0.5000  0.7045

ΔE to the lowest computed polymorph = 245 meV per atom
total magnetization = 0.002 Bohr magnetons per cell
volume = 19.83 Å³/atom
energy relative to the elements = -0.001 eV/atom

=====

The following is a DFT calculation (PBE-GGA) of crystalline ScBeIn at its relaxed geometry.

a b c (Å): 4.5009 4.0066 6.5211
angles (deg): 89.99 70.13 89.99
Positions (direct):
Sc  0.5237  0.8129  0.7666
Sc  0.2216  0.8128  0.3612
Be  0.2808  0.3129  0.0639
Be  0.9607  0.8129  0.0614
In  0.7107  0.3129  0.3495
In  0.0073  0.3129  0.7708

ΔE to the lowest computed polymorph = 137 meV per atom
total magnetization = 0.000 Bohr magnetons per cell
volume = 18.43 Å³/atom
energy relative to the elements = -0.072 eV/atom

=====

The following is a DFT calculation (PBE-GGA) of crystalline Sc3BeIn at its relaxed geometry.

a b c (Å): 5.3062 5.3062 5.3062
angles (deg): 90.00 90.00 90.00
Each line ends with the local moment (μB).
Positions (direct):
Sc  0.0000  0.5000  0.0000  0.24
Sc  0.0000  0.0000  0.5000  0.19
Sc  0.5000  0.0000  0.0000  0.35
Be  0.5000  0.5000  0.5000  0.07
In  0.0000  0.0000  0.0000  0.03

ΔE to the lowest computed polymorph = 895 meV per atom
total magnetization = 1.817 Bohr magnetons per cell
volume = 29.88 Å³/atom
energy relative to the elements = 0.917 eV/atom

=====

The following is a DFT calculation (PBE-GGA) of crystalline ScBeIn at its relaxed geometry.

a b c (Å): 3.4286 3.7998 8.5243
angles (deg): 90.00 78.37 90.00
Each line ends with the local moment (μB).
Positions (direct):
Sc  0.1010  0.3129  0.8867  0.00
Sc  0.3148  0.3129  0.4595  0.22
Be  0.5473  0.8129  0.9941  0.00
Be  0.4776  0.3129  0.1315  0.01
In  0.9309  0.8129  0.2263  -0.01
In  0.7067  0.8129  0.6753  -0.01

ΔE to the lowest computed polymorph = 73 meV per atom
total magnetization = 0.332 Bohr magnetons per cell
volume = 18.13 Å³/atom
energy relative to the elements = -0.137 eV/atom

=====

The following is a DFT calculation (PBE-GGA) of crystalline ScBeIn at its relaxed geometry.

a b c (Å): 4.8247 3.7230 6.6103
angles (deg): 90.00 75.89 90.00
Positions (direct):
Sc  0.5566  0.8129  0.8392
Sc  0.1531  0.8129  0.3926
Be  0.2229  0.3129  0.0958
Be  0.0163  0.8129  0.0388
In  0.6770  0.3129  0.2515
In  0.0789  0.3129  0.7555

ΔE to the lowest computed polymorph = 109 meV per atom
total magnetization = 0.000 Bohr magnetons per cell
volume = 19.19 Å³/atom
energy relative to the elements = -0.101 eV/atom

=====

The following is a DFT calculation (PBE-GGA) of crystalline ScBeIn at its relaxed geometry.

a b c (Å): 3.5149 3.5149 5.6068
angles (deg): 90.00 90.00 120.00
Positions (direct):
Sc  0.6667  0.3333  0.7136
Be  0.0000  0.0000  0.0054
In  0.3333  0.6667  0.2810

ΔE to the lowest computed polymorph = 387 meV per atom
total magnetization = 0.000 Bohr magnetons per cell
volume = 20.00 Å³/atom
energy relative to the elements = 0.177 eV/atom

=====

The following is a DFT calculation (PBE-GGA) of crystalline ScBeIn at its relaxed geometry.

a b c (Å): 4.0539 4.0539 6.9614
angles (deg): 90.00 90.00 90.00
Each line ends with the local moment (μB).
Positions (direct):
Sc  0.0000  0.5000  0.1450  0.21
Sc  0.5000  0.0000  0.8550  0.20
Be  0.0000  0.5000  0.7528  -0.01
Be  0.5000  0.0000  0.2472  -0.01
In  0.0000  0.0000  0.5000  0.00
In  0.5000  0.5000  0.5000  0.01

ΔE to the lowest computed polymorph = 247 meV per atom
total magnetization = 0.748 Bohr magnetons per cell
volume = 19.07 Å³/atom
energy relative to the elements = 0.037 eV/atom

=====

The following is a DFT calculation (PBE-GGA) of crystalline ScBeIn at its relaxed geometry.

a b c (Å): 4.7441 4.7441 5.7701
angles (deg): 90.00 90.00 120.00
Positions (direct):
Sc  0.3333  0.6667  0.7500
Sc  0.6667  0.3333  0.2500
Be  0.0000  0.0000  0.0000
Be  0.0000  0.0000  0.5000
In  0.3333  0.6667  0.2500
In  0.6667  0.3333  0.7500

ΔE to the lowest computed polymorph = 348 meV per atom
total magnetization = 0.000 Bohr magnetons per cell
volume = 18.74 Å³/atom
energy relative to the elements = 0.138 eV/atom

=====

The following is a DFT calculation (PBE-GGA) of crystalline Sc2BeIn at its relaxed geometry.

a b c (Å): 3.3074 3.3074 6.9896
angles (deg): 90.00 90.00 90.00
Positions (direct):
Sc  0.0000  0.0000  0.0358
Sc  0.0000  0.0000  0.4642
Be  0.5000  0.5000  0.2500
In  0.5000  0.5000  0.7500

ΔE to the lowest computed polymorph = 0 meV per atom
total magnetization = 0.000 Bohr magnetons per cell
volume = 19.11 Å³/atom
energy relative to the elements = -0.246 eV/atom

=====

The following is a DFT calculation (PBE-GGA) of crystalline ScBeIn at its relaxed geometry.

a b c (Å): 4.3216 4.3216 4.3216
angles (deg): 60.00 60.00 60.00
Positions (direct):
Sc  0.5000  0.5000  0.5000
Be  0.7500  0.7500  0.7500
In  0.0000  0.0000  0.0000

ΔE to the lowest computed polymorph = 25 meV per atom
total magnetization = 0.000 Bohr magnetons per cell
volume = 19.02 Å³/atom
energy relative to the elements = -0.185 eV/atom

=====

The following is a DFT calculation (PBE-GGA) of crystalline ScBe2In2 at its relaxed geometry.

a b c (Å): 3.9861 3.9861 6.3220
angles (deg): 71.62 71.62 90.00
Positions (direct):
Sc  0.0000  0.0000  0.0000
Be  0.7500  0.2500  0.5000
Be  0.2500  0.7500  0.5000
In  0.3792  0.3792  0.2417
In  0.6208  0.6208  0.7583

ΔE to the lowest computed polymorph = 91 meV per atom
total magnetization = 0.000 Bohr magnetons per cell
volume = 17.98 Å³/atom
energy relative to the elements = 0.119 eV/atom

=====

The following is a DFT calculation (PBE-GGA) of crystalline Sc2BeIn at its relaxed geometry.

a b c (Å): 7.4513 7.4513 6.0824
angles (deg): 52.23 52.23 90.00
Positions (direct):
Sc  0.5821  0.1250  0.2500
Sc  0.1679  0.6250  0.2500
Sc  0.3750  0.4179  0.7500
Sc  0.8750  0.8321  0.7500
Be  0.5000  0.5000  0.0000
Be  0.2500  0.7500  0.5000
In  0.0000  0.0000  0.0000
In  0.7500  0.2500  0.5000

ΔE to the lowest computed polymorph = 450 meV per atom
total magnetization = 0.000 Bohr magnetons per cell
volume = 21.09 Å³/atom
energy relative to the elements = 0.204 eV/atom

=====

The following is a DFT calculation (PBE-GGA) of crystalline Sc2BeIn at its relaxed geometry.

a b c (Å): 4.8138 4.8138 4.8138
angles (deg): 60.00 60.00 60.00
Each line ends with the local moment (μB).
Positions (direct):
Sc  0.0000  0.0000  0.0000  0.71
Sc  0.2500  0.2500  0.2500  0.72
Be  0.5000  0.5000  0.5000  0.02
In  0.7500  0.7500  0.7500  0.03

ΔE to the lowest computed polymorph = 477 meV per atom
total magnetization = 2.141 Bohr magnetons per cell
volume = 19.72 Å³/atom
energy relative to the elements = 0.231 eV/atom

=====

The following is a DFT calculation (PBE-GGA) of crystalline Sc2BeIn2 at its relaxed geometry.

a b c (Å): 6.7462 6.7462 4.6153
angles (deg): 90.00 90.00 90.00
Positions (direct):
Sc  0.1645  0.6645  0.5000
Sc  0.6645  0.8355  0.5000
Sc  0.8355  0.3355  0.5000
Sc  0.3355  0.1645  0.5000
Be  0.0000  0.0000  0.0000
Be  0.5000  0.5000  0.0000
In  0.3508  0.8508  0.0000
In  0.8508  0.6492  0.0000
In  0.6492  0.1492  0.0000
In  0.1492  0.3508  0.0000

ΔE to the lowest computed polymorph = 0 meV per atom
total magnetization = 0.000 Bohr magnetons per cell
volume = 21.00 Å³/atom
energy relative to the elements = -0.143 eV/atom

=====

The following is a DFT calculation (PBE-GGA) of crystalline ScBeIn at its relaxed geometry.

a b c (Å): 4.0721 4.0721 11.1485
angles (deg): 90.00 90.00 120.00
Each line ends with the local moment (μB).
Positions (direct):
Sc  0.0000  0.0000  0.0000  0.31
Sc  0.0000  0.0000  0.5000  0.32
Be  0.3333  0.6667  0.2500  -0.03
Be  0.6667  0.3333  0.7500  -0.03
In  0.0000  0.0000  0.2500  0.00
In  0.0000  0.0000  0.7500  0.00

ΔE to the lowest computed polymorph = 1130 meV per atom
total magnetization = 0.867 Bohr magnetons per cell
volume = 26.68 Å³/atom
energy relative to the elements = 0.920 eV/atom

=====

The following is a DFT calculation (PBE-GGA) of crystalline ScBeIn at its relaxed geometry.

a b c (Å): 4.5781 4.5781 4.5781
angles (deg): 60.00 60.00 60.00
Positions (direct):
Sc  0.5000  0.5000  0.5000
Be  0.7500  0.7500  0.7500
In  0.2500  0.2500  0.2500

ΔE to the lowest computed polymorph = 746 meV per atom
total magnetization = 0.000 Bohr magnetons per cell
volume = 22.62 Å³/atom
energy relative to the elements = 0.536 eV/atom

=====

The following is a DFT calculation (PBE-GGA) of crystalline ScBeIn at its relaxed geometry.

a b c (Å): 3.6677 3.6677 10.6693
angles (deg): 99.90 99.89 120.00
Positions (direct):
Sc  0.9017  0.9307  0.9011
Sc  0.7792  0.1420  0.4453
Be  0.7326  0.4281  0.0651
Be  0.4040  0.7662  0.0701
In  0.2243  0.2534  0.2237
In  0.3355  0.0317  0.6682

ΔE to the lowest computed polymorph = 101 meV per atom
total magnetization = 0.000 Bohr magnetons per cell
volume = 19.45 Å³/atom
energy relative to the elements = -0.109 eV/atom

=====

The following is a DFT calculation (PBE-GGA) of crystalline Sc2BeIn at its relaxed geometry.

a b c (Å): 4.7615 4.7610 3.4723
angles (deg): 90.01 90.01 90.04
Positions (direct):
Sc  0.0000  0.0000  0.0000
Sc  0.5000  0.5000  0.0000
Be  0.5000  0.0000  0.5000
In  0.0000  0.5000  0.5000

ΔE to the lowest computed polymorph = 98 meV per atom
total magnetization = 0.000 Bohr magnetons per cell
volume = 19.68 Å³/atom
energy relative to the elements = -0.148 eV/atom

=====

The following is a DFT calculation (PBE-GGA) of crystalline ScBeIn at its relaxed geometry.

a b c (Å): 4.5112 3.7676 6.7026
angles (deg): 90.04 82.63 90.00
Positions (direct):
Sc  0.5620  0.9790  0.7265
Sc  0.1307  0.4799  0.3979
Be  0.4755  0.4797  0.0326
Be  0.2173  0.9798  0.0920
In  0.6651  0.9797  0.2641
In  0.0278  0.4792  0.8602

ΔE to the lowest computed polymorph = 92 meV per atom
total magnetization = 0.000 Bohr magnetons per cell
volume = 18.83 Å³/atom
energy relative to the elements = -0.118 eV/atom

=====

The following is a DFT calculation (PBE-GGA) of crystalline Sc2BeIn at its relaxed geometry.

a b c (Å): 5.7565 5.7565 4.7761
angles (deg): 65.65 65.65 33.32
Positions (direct):
Sc  0.9977  0.9977  0.0017
Sc  0.7773  0.7773  0.7226
Be  0.5137  0.5137  0.4874
In  0.2113  0.2113  0.2882

ΔE to the lowest computed polymorph = 139 meV per atom
total magnetization = 0.001 Bohr magnetons per cell
volume = 19.62 Å³/atom
energy relative to the elements = -0.107 eV/atom

=====

The following is a DFT calculation (PBE-GGA) of crystalline Sc2BeIn at its relaxed geometry.

a b c (Å): 4.8026 4.8026 4.8026
angles (deg): 60.00 60.00 60.00
Positions (direct):
Sc  0.2500  0.2500  0.2500
Sc  0.7500  0.7500  0.7500
Be  0.0000  0.0000  0.0000
In  0.5000  0.5000  0.5000

ΔE to the lowest computed polymorph = 81 meV per atom
total magnetization = 0.000 Bohr magnetons per cell
volume = 19.58 Å³/atom
energy relative to the elements = -0.165 eV/atom

=====

The following is a DFT calculation (PBE-GGA) of crystalline Sc2BeIn2 at its relaxed geometry.

a b c (Å): 6.9518 6.9518 4.6339
angles (deg): 90.00 90.00 90.00
Positions (direct):
Sc  0.3448  0.8448  0.0000
Sc  0.8448  0.6552  0.0000
Sc  0.6552  0.1552  0.0000
Sc  0.1552  0.3448  0.0000
Be  0.0000  0.0000  0.0000
Be  0.5000  0.5000  0.0000
In  0.1568  0.6568  0.5000
In  0.6568  0.8432  0.5000
In  0.8432  0.3432  0.5000
In  0.3432  0.1568  0.5000

ΔE to the lowest computed polymorph = 220 meV per atom
total magnetization = 0.000 Bohr magnetons per cell
volume = 22.39 Å³/atom
energy relative to the elements = 0.077 eV/atom

=====

The following is a DFT calculation (PBE-GGA) of crystalline ScBeIn at its relaxed geometry.

a b c (Å): 5.4028 5.7459 3.8472
angles (deg): 70.43 90.02 85.25
Positions (direct):
Sc  0.8819  0.3718  0.8119
Sc  0.3552  0.5343  0.2310
Be  0.4441  0.1803  0.9077
Be  0.6438  0.1035  0.4468
In  0.8074  0.8041  0.0964
In  0.1740  0.9943  0.5011

ΔE to the lowest computed polymorph = 107 meV per atom
total magnetization = 0.000 Bohr magnetons per cell
volume = 18.68 Å³/atom
energy relative to the elements = -0.103 eV/atom

=====

The following is a DFT calculation (PBE-GGA) of crystalline ScBeIn at its relaxed geometry.

a b c (Å): 5.3024 3.2060 7.4311
angles (deg): 90.00 64.46 90.00
Positions (direct):
Sc  0.5307  0.8965  0.7664
Sc  0.1620  0.8964  0.3581
Be  0.5423  0.3954  0.0662
Be  0.1505  0.3957  0.0583
In  0.6614  0.3966  0.3622
In  0.0314  0.3967  0.7622

ΔE to the lowest computed polymorph = 118 meV per atom
total magnetization = 0.000 Bohr magnetons per cell
volume = 19.00 Å³/atom
energy relative to the elements = -0.092 eV/atom

=====

The following is a DFT calculation (PBE-GGA) of crystalline ScBeIn at its relaxed geometry.

a b c (Å): 5.2070 3.7732 5.8464
angles (deg): 89.99 95.06 90.00
Positions (direct):
Sc  0.0159  0.3129  0.8446
Sc  0.8013  0.8129  0.2802
Be  0.2958  0.8128  0.0799
Be  0.5216  0.3129  0.0442
In  0.2668  0.3129  0.3795
In  0.5505  0.8130  0.7450

ΔE to the lowest computed polymorph = 110 meV per atom
total magnetization = 0.000 Bohr magnetons per cell
volume = 19.07 Å³/atom
energy relative to the elements = -0.100 eV/atom

=====

The following is a DFT calculation (PBE-GGA) of crystalline ScBeIn at its relaxed geometry.

a b c (Å): 6.0826 4.1550 8.8057
angles (deg): 90.00 90.00 90.00
Positions (direct):
Sc  0.3647  0.2500  0.4074
Sc  0.1353  0.7500  0.9074
Sc  0.6353  0.7500  0.5926
Sc  0.8647  0.2500  0.0926
Be  0.9095  0.2500  0.7428
Be  0.5905  0.7500  0.2428
Be  0.0905  0.7500  0.2572
Be  0.4095  0.2500  0.7572
In  0.8625  0.2500  0.4130
In  0.6375  0.7500  0.9130
In  0.1375  0.7500  0.5870
In  0.3625  0.2500  0.0870

ΔE to the lowest computed polymorph = 258 meV per atom
total magnetization = 0.000 Bohr magnetons per cell
volume = 18.55 Å³/atom
energy relative to the elements = 0.048 eV/atom

=====

The following is a DFT calculation (PBE-GGA) of crystalline Sc2BeIn at its relaxed geometry.

a b c (Å): 8.8469 8.8469 8.8469
angles (deg): 21.81 21.81 21.81
Positions (direct):
Sc  0.9869  0.9869  0.9869
Sc  0.5131  0.5131  0.5131
Be  0.2500  0.2500  0.2500
In  0.7500  0.7500  0.7500

ΔE to the lowest computed polymorph = 232 meV per atom
total magnetization = 0.000 Bohr magnetons per cell
volume = 20.95 Å³/atom
energy relative to the elements = -0.014 eV/atom